No. 1
# BaSrHg2 | Alexandria via LeMat-Bulk | GGA-PBEsol | optimized geometry
# E_form	-0.5617	eV per atom
# mass density	8.1	g/cm³
# energy	-7.37	eV per cell
data_BaSrHg2
_chemical_formula_sum 'Ba1 Sr1 Hg2'
_cell_length_a 5.674
_cell_length_b 5.674
_cell_length_c 5.674
_cell_angle_alpha 60.00
_cell_angle_beta 60.00
_cell_angle_gamma 60.00
_space_group_name_H-M_alt 'P 1'
_space_group_IT_number 1
loop_
_space_group_symop_operation_xyz
'x,y,z'
loop_
_atom_site_label
_atom_site_type_symbol
_atom_site_fract_x
_atom_site_fract_y
_atom_site_fract_z
Sr1 Sr 0.500 0.500 0.500
Hg1 Hg 0.750 0.750 0.750
Hg2 Hg 0.250 0.250 0.250
Ba1 Ba 0.000 0.000 0.000


No. 2
# ReMoW2 | Alexandria via LeMat-Bulk | GGA-PBEsol | optimized geometry
# E_form	0.0465	eV per atom
# mass density	17.6	g/cm³
# energy	-52.53	eV per cell
data_ReMoW2
_chemical_formula_sum 'Re1 Mo1 W2'
_cell_length_a 3.127
_cell_length_b 4.434
_cell_length_c 5.182
_cell_angle_alpha 115.33
_cell_angle_beta 107.56
_cell_angle_gamma 90.00
_space_group_name_H-M_alt 'P 1'
_space_group_IT_number 1
loop_
_space_group_symop_operation_xyz
'x,y,z'
loop_
_atom_site_label
_atom_site_type_symbol
_atom_site_fract_x
_atom_site_fract_y
_atom_site_fract_z
Re1 Re 0.000 0.500 0.000
Mo1 Mo 0.500 0.000 0.000
W1 W 0.752 0.752 0.504
W2 W 0.248 0.248 0.496


No. 3
# Be2TcW | Alexandria via LeMat-Bulk | GGA-PBEsol | optimized geometry
# E_form	0.0816	eV per atom
# mass density	10.6	g/cm³
# energy	-32.75	eV per cell
data_Be2TcW
_chemical_formula_sum 'Be2 Tc1 W1'
_cell_length_a 3.505
_cell_length_b 3.505
_cell_length_c 4.570
_cell_angle_alpha 112.55
_cell_angle_beta 112.55
_cell_angle_gamma 90.00
_space_group_name_H-M_alt 'P 1'
_space_group_IT_number 1
loop_
_space_group_symop_operation_xyz
'x,y,z'
loop_
_atom_site_label
_atom_site_type_symbol
_atom_site_fract_x
_atom_site_fract_y
_atom_site_fract_z
Be1 Be 0.000 0.000 0.000
Be2 Be 0.750 0.250 0.500
Tc1 Tc 0.500 0.500 0.000
W1 W 0.250 0.750 0.500


No. 4
# CrPtW2 | Alexandria via LeMat-Bulk | GGA-PBEsol | optimized geometry
# E_form	0.0940	eV per atom
# mass density	17.6	g/cm³
# energy	-44.44	eV per cell
data_CrPtW2
_chemical_formula_sum 'Cr1 Pt1 W2'
_cell_length_a 2.688
_cell_length_b 2.688
_cell_length_c 8.023
_cell_angle_alpha 90.00
_cell_angle_beta 90.00
_cell_angle_gamma 90.00
_space_group_name_H-M_alt 'P 1'
_space_group_IT_number 1
loop_
_space_group_symop_operation_xyz
'x,y,z'
loop_
_atom_site_label
_atom_site_type_symbol
_atom_site_fract_x
_atom_site_fract_y
_atom_site_fract_z
Cr1 Cr 0.500 0.500 0.000
Pt1 Pt 0.500 0.500 0.500
W1 W 0.000 0.000 0.759
W2 W 0.000 0.000 0.241


No. 5
# Eu2Ti2O5 | Alexandria via LeMat-Bulk | GGA-PBEsol | optimized geometry
# mass density	7.1	g/cm³
# formation energy from raw total energies	-26.94	eV/f.u.
# energy	-90.96	eV per cell
data_Eu2Ti2O5
_chemical_formula_sum 'Eu2 Ti2 O5'
_cell_length_a 3.907
_cell_length_b 3.907
_cell_length_c 7.339
_cell_angle_alpha 90.00
_cell_angle_beta 90.00
_cell_angle_gamma 90.00
_space_group_name_H-M_alt 'P 1'
_space_group_IT_number 1
loop_
_space_group_symop_operation_xyz
'x,y,z'
loop_
_atom_site_label
_atom_site_type_symbol
_atom_site_fract_x
_atom_site_fract_y
_atom_site_fract_z
Eu1 Eu 0.000 0.000 0.000
Eu2 Eu 0.000 0.000 0.500
O1 O 0.500 0.000 0.226
O2 O 0.500 0.000 0.774
O3 O 0.500 0.500 0.500
O4 O 0.000 0.500 0.226
O5 O 0.000 0.500 0.774
Ti1 Ti 0.500 0.500 0.764
Ti2 Ti 0.500 0.500 0.236


No. 6
# MnBeHg2 | Alexandria via LeMat-Bulk | GGA-PBEsol | optimized geometry
# E_form	0.3922	eV per atom
# mass density	12.1	g/cm³
# energy	-13.33	eV per cell
data_MnBeHg2
_chemical_formula_sum 'Mn1 Be1 Hg2'
_cell_length_a 3.389
_cell_length_b 4.334
_cell_length_c 4.334
_cell_angle_alpha 90.00
_cell_angle_beta 90.00
_cell_angle_gamma 90.00
_space_group_name_H-M_alt 'P 1'
_space_group_IT_number 1
loop_
_space_group_symop_operation_xyz
'x,y,z'
loop_
_atom_site_label
_atom_site_type_symbol
_atom_site_fract_x
_atom_site_fract_y
_atom_site_fract_z
Be1 Be 0.500 0.500 0.500
Mn1 Mn 0.500 0.000 0.000
Hg1 Hg 0.000 0.500 0.000
Hg2 Hg 0.000 0.000 0.500


No. 7
# LiMnCr2 | Alexandria via LeMat-Bulk | GGA-PBEsol | optimized geometry
# E_form	0.4533	eV per atom
# mass density	6.3	g/cm³
# energy	-30.40	eV per cell
data_LiMnCr2
_chemical_formula_sum 'Li1 Mn1 Cr2'
_cell_length_a 2.242
_cell_length_b 4.297
_cell_length_c 4.730
_cell_angle_alpha 90.14
_cell_angle_beta 90.00
_cell_angle_gamma 105.12
_space_group_name_H-M_alt 'P 1'
_space_group_IT_number 1
loop_
_space_group_symop_operation_xyz
'x,y,z'
loop_
_atom_site_label
_atom_site_type_symbol
_atom_site_fract_x
_atom_site_fract_y
_atom_site_fract_z
Cr1 Cr 0.747 0.493 0.749
Cr2 Cr 0.253 0.507 0.251
Li1 Li 0.000 0.000 0.500
Mn1 Mn 0.500 0.000 0.000


No. 8
# TcSCl3 | Alexandria via LeMat-Bulk | GGA-PBEsol | optimized geometry
# mass density	3.5	g/cm³
# formation energy from raw total energies	4.63	eV/f.u.
# energy	-17.04	eV per cell
data_TcSCl3
_chemical_formula_sum 'Tc1 S1 Cl3'
_cell_length_a 4.802
_cell_length_b 4.802
_cell_length_c 4.802
_cell_angle_alpha 90.00
_cell_angle_beta 90.00
_cell_angle_gamma 90.00
_space_group_name_H-M_alt 'P 1'
_space_group_IT_number 1
loop_
_space_group_symop_operation_xyz
'x,y,z'
loop_
_atom_site_label
_atom_site_type_symbol
_atom_site_fract_x
_atom_site_fract_y
_atom_site_fract_z
S1 S 0.000 0.000 0.000
Tc1 Tc 0.500 0.500 0.500
Cl1 Cl 0.000 0.500 0.000
Cl2 Cl 0.000 0.000 0.500
Cl3 Cl 0.500 0.000 0.000


No. 9
# Sc2RhSe | Alexandria via LeMat-Bulk | GGA-PBEsol | optimized geometry
# mass density	6.5	g/cm³
# formation energy from raw total energies	-3.41	eV/f.u.
# energy	-28.61	eV per cell
data_Sc2RhSe
_chemical_formula_sum 'Sc2 Rh1 Se1'
_cell_length_a 4.624
_cell_length_b 4.624
_cell_length_c 4.624
_cell_angle_alpha 60.00
_cell_angle_beta 60.00
_cell_angle_gamma 60.00
_space_group_name_H-M_alt 'P 1'
_space_group_IT_number 1
loop_
_space_group_symop_operation_xyz
'x,y,z'
loop_
_atom_site_label
_atom_site_type_symbol
_atom_site_fract_x
_atom_site_fract_y
_atom_site_fract_z
Rh1 Rh 0.000 0.000 0.000
Sc1 Sc 0.250 0.250 0.250
Sc2 Sc 0.750 0.750 0.750
Se1 Se 0.500 0.500 0.500


No. 10
# TaAlO4 | Alexandria via LeMat-Bulk | GGA-PBEsol | optimized geometry
# mass density	6.4	g/cm³
# formation energy from raw total energies	-17.74	eV/f.u.
# energy	-110.75	eV per cell
data_TaAlO4
_chemical_formula_sum 'Ta2 Al2 O8'
_cell_length_a 3.785
_cell_length_b 6.369
_cell_length_c 6.459
_cell_angle_alpha 106.93
_cell_angle_beta 90.00
_cell_angle_gamma 107.28
_space_group_name_H-M_alt 'P 1'
_space_group_IT_number 1
loop_
_space_group_symop_operation_xyz
'x,y,z'
loop_
_atom_site_label
_atom_site_type_symbol
_atom_site_fract_x
_atom_site_fract_y
_atom_site_fract_z
Ta1 Ta 0.894 0.788 0.768
Ta2 Ta 0.106 0.212 0.232
Al1 Al 0.799 0.598 0.180
Al2 Al 0.201 0.402 0.820
O1 O 0.358 0.716 0.798
O2 O 0.642 0.284 0.202
O3 O 0.942 0.885 0.134
O4 O 0.058 0.115 0.866
O5 O 0.141 0.282 0.525
O6 O 0.859 0.718 0.475
O7 O 0.263 0.525 0.142
O8 O 0.737 0.475 0.858


No. 11
# Ce3Si11Pt23 | Alexandria via LeMat-Bulk | GGA-PBEsol | optimized geometry
# mass density	14.5	g/cm³
# formation energy from raw total energies	-33.23	eV/f.u.
# energy	-552.78	eV per cell
data_Ce3Si11Pt23
_chemical_formula_sum 'Ce6 Si22 Pt46'
_cell_length_a 11.904
_cell_length_b 11.904
_cell_length_c 11.904
_cell_angle_alpha 60.00
_cell_angle_beta 60.00
_cell_angle_gamma 60.00
_space_group_name_H-M_alt 'P 1'
_space_group_IT_number 1
loop_
_space_group_symop_operation_xyz
'x,y,z'
loop_
_atom_site_label
_atom_site_type_symbol
_atom_site_fract_x
_atom_site_fract_y
_atom_site_fract_z
Ce1 Ce 0.500 0.000 0.500
Ce2 Ce 0.000 0.000 0.500
Ce3 Ce 0.500 0.000 0.000
Ce4 Ce 0.500 0.500 0.000
Ce5 Ce 0.000 0.500 0.500
Ce6 Ce 0.000 0.500 0.000
Si1 Si 0.834 0.497 0.834
Si2 Si 0.166 0.166 0.503
Si3 Si 0.170 0.830 0.170
Si4 Si 0.497 0.834 0.834
Si5 Si 0.606 0.182 0.606
Si6 Si 0.834 0.834 0.834
Si7 Si 0.830 0.830 0.170
Si8 Si 0.394 0.394 0.394
Si9 Si 0.606 0.606 0.182
Si10 Si 0.830 0.170 0.830
Si11 Si 0.830 0.170 0.170
Si12 Si 0.182 0.606 0.606
Si13 Si 0.170 0.830 0.830
Si14 Si 0.166 0.503 0.166
Si15 Si 0.170 0.170 0.830
Si16 Si 0.834 0.834 0.497
Si17 Si 0.394 0.818 0.394
Si18 Si 0.394 0.394 0.818
Si19 Si 0.606 0.606 0.606
Si20 Si 0.503 0.166 0.166
Si21 Si 0.166 0.166 0.166
Si22 Si 0.818 0.394 0.394
Pt1 Pt 0.626 0.374 0.626
Pt2 Pt 0.748 0.748 0.084
Pt3 Pt 0.252 0.252 0.580
Pt4 Pt 0.580 0.916 0.252
Pt5 Pt 0.917 0.917 0.249
Pt6 Pt 0.748 0.420 0.084
Pt7 Pt 0.626 0.626 0.374
Pt8 Pt 0.420 0.084 0.748
Pt9 Pt 0.252 0.252 0.916
Pt10 Pt 0.916 0.252 0.580
Pt11 Pt 0.748 0.420 0.748
Pt12 Pt 0.420 0.748 0.084
Pt13 Pt 0.252 0.916 0.252
Pt14 Pt 0.252 0.916 0.580
Pt15 Pt 0.083 0.083 0.751
Pt16 Pt 0.249 0.917 0.917
Pt17 Pt 0.374 0.626 0.626
Pt18 Pt 0.309 0.309 0.074
Pt19 Pt 0.074 0.309 0.309
Pt20 Pt 0.580 0.252 0.916
Pt21 Pt 0.917 0.249 0.917
Pt22 Pt 0.916 0.252 0.252
Pt23 Pt 0.083 0.751 0.083
Pt24 Pt 0.252 0.580 0.916
Pt25 Pt 0.926 0.691 0.691
Pt26 Pt 0.309 0.074 0.309
Pt27 Pt 0.084 0.420 0.748
Pt28 Pt 0.916 0.580 0.252
Pt29 Pt 0.691 0.691 0.926
Pt30 Pt 0.917 0.917 0.917
Pt31 Pt 0.252 0.580 0.252
Pt32 Pt 0.748 0.084 0.748
Pt33 Pt 0.751 0.083 0.083
Pt34 Pt 0.083 0.083 0.083
Pt35 Pt 0.084 0.748 0.748
Pt36 Pt 0.626 0.374 0.374
Pt37 Pt 0.084 0.748 0.420
Pt38 Pt 0.748 0.084 0.420
Pt39 Pt 0.374 0.626 0.374
Pt40 Pt 0.309 0.309 0.309
Pt41 Pt 0.691 0.691 0.691
Pt42 Pt 0.580 0.252 0.252
Pt43 Pt 0.691 0.926 0.691
Pt44 Pt 0.374 0.374 0.626
Pt45 Pt 0.748 0.748 0.420
Pt46 Pt 0.420 0.748 0.748


No. 12
# Be2NiTe | Alexandria via LeMat-Bulk | GGA-PBEsol | optimized geometry
# mass density	4.9	g/cm³
# formation energy from raw total energies	2.03	eV/f.u.
# energy	-31.31	eV per cell
data_Be2NiTe
_chemical_formula_sum 'Be4 Ni2 Te2'
_cell_length_a 5.004
_cell_length_b 5.004
_cell_length_c 6.546
_cell_angle_alpha 112.47
_cell_angle_beta 112.47
_cell_angle_gamma 90.00
_space_group_name_H-M_alt 'P 1'
_space_group_IT_number 1
loop_
_space_group_symop_operation_xyz
'x,y,z'
loop_
_atom_site_label
_atom_site_type_symbol
_atom_site_fract_x
_atom_site_fract_y
_atom_site_fract_z
Ni1 Ni 0.750 0.250 0.500
Ni2 Ni 0.500 0.500 0.000
Te1 Te 0.250 0.750 0.500
Te2 Te 0.000 0.000 0.000
Be1 Be 0.430 0.875 0.250
Be2 Be 0.820 0.375 0.250
Be3 Be 0.125 0.180 0.750
Be4 Be 0.625 0.570 0.750